A plane-wave DFT calculation with PBE was carried out for an optimized crystal structure of BaSrMn2.

abc: 9.196 9.196 9.196
angles: 26.59 26.59 26.59
Element x y z (fractional)
Mn  0.956  0.956  0.956
Sr  0.535  0.535  0.535
Mn  0.290  0.290  0.290
Ba  0.719  0.719  0.719

Output
DFT formation energy	383	meV per atom
SG	R3m
magnetic moment	0.2	μB per cell